# PmTl2AsS4, relaxed, DFT PBE
data_PmTl2AsS4
_chemical_formula_sum 'Pm4 Tl8 As4 S16'
_cell_length_a 8.2327
_cell_length_b 8.4302
_cell_length_c 11.7962
_cell_angle_alpha 90.00
_cell_angle_beta 90.00
_cell_angle_gamma 90.00
_space_group_name_H-M_alt 'I m m a'
_space_group_IT_number 74
_space_group_name_Hall '-I 2b 2'
loop_
_atom_site_label
_atom_site_type_symbol
_atom_site_fract_x
_atom_site_fract_y
_atom_site_fract_z
_atom_site_occupancy
Pm1 Pm 0.0000 0.0000 0.0000 1
Tl1 Tl 0.0000 0.0000 0.5000 1
Tl2 Tl 0.2500 0.2500 0.2500 1
As1 As 0.2500 0.2500 0.7500 1
S1 S 0.0000 0.0429 0.7606 1
S2 S 0.2258 0.2500 0.9755 1
# total DFT energy (no corrections): -4.5785 eV per atom
# DOS(E_F): 1.0 states/eV per cell



# Pm6TlAs2S3, relaxed, DFT PBE
data_Pm6TlAs2S3
_chemical_formula_sum 'Pm12 Tl2 As4 S6'
_cell_length_a 18.2482
_cell_length_b 4.1530
_cell_length_c 8.4377
_cell_angle_alpha 90.00
_cell_angle_beta 103.06
_cell_angle_gamma 90.00
_space_group_name_H-M_alt 'C 1 2/m 1'
_space_group_IT_number 12
_space_group_name_Hall '-C 2y'
loop_
_atom_site_label
_atom_site_type_symbol
_atom_site_fract_x
_atom_site_fract_y
_atom_site_fract_z
_atom_site_occupancy
Pm1 Pm 0.0008 0.0000 0.2300 1
Pm2 Pm 0.1675 0.5000 0.0829 1
Pm3 Pm 0.1726 0.5000 0.5868 1
Tl1 Tl 0.0000 0.5000 0.5000 1
As1 As 0.1671 0.0000 0.8341 1
S1 S 0.0000 0.5000 0.0000 1
S2 S 0.1674 0.0000 0.3321 1
# total DFT energy (no corrections): -5.9362 eV per atom
# DOS(E_F): 8.5 states/eV per cell



# PmTmAsS, relaxed, DFT PBE
data_PmTmAsS
_chemical_formula_sum 'Pm3 Tm3 As3 S3'
_cell_length_a 3.9753
_cell_length_b 3.9753
_cell_length_c 21.0383
_cell_angle_alpha 90.00
_cell_angle_beta 90.00
_cell_angle_gamma 120.00
_space_group_name_H-M_alt 'R 3 m'
_space_group_IT_number 160
_space_group_name_Hall 'R 3 -2"'
loop_
_atom_site_label
_atom_site_type_symbol
_atom_site_fract_x
_atom_site_fract_y
_atom_site_fract_z
_atom_site_occupancy
Pm1 Pm 0.0000 0.0000 0.0000 1
Tm1 Tm 0.0000 0.0000 0.1729 1
As1 As 0.0000 0.0000 0.5811 1
S1 S 0.0000 0.0000 0.7591 1
# total DFT energy (no corrections): -6.1795 eV per atom
# DOS(E_F): 6.8 states/eV per cell



The lowest DOS(E_F) belongs to which entry?
PmTl2AsS4



Which of these has the highest total DFT energy (no corrections)?
PmTl2AsS4